No. 1
# Nd3Ho4Er2, relaxed, DFT GGA-PBE
# Energy of formation = 0.102 eV per atom
# E = -4.536 eV per atom
# Space-group type = No. 15
# ΔE to the lowest computed polymorph = 0.083 eV per atom
data_Nd3Ho4Er2
_space_group_name_H-M_alt 'P 1'
_space_group_IT_number 1
_cell_length_a 6.047
_cell_length_b 11.231
_cell_length_c 11.231
_cell_angle_alpha 62.52
_cell_angle_beta 63.86
_cell_angle_gamma 63.86
loop_
_space_group_symop_operation_xyz
'x,y,z'
loop_
_atom_site_label
_atom_site_type_symbol
_atom_site_fract_x
_atom_site_fract_y
_atom_site_fract_z
Ho1 Ho 0.580 0.083 0.817
Ho2 Ho 0.578 0.416 0.152
Ho3 Ho 0.420 0.917 0.183
Ho4 Ho 0.078 0.152 0.416
Ho5 Ho 0.920 0.183 0.917
Ho6 Ho 0.080 0.817 0.083
Ho7 Ho 0.422 0.584 0.848
Ho8 Ho 0.922 0.848 0.584
Er1 Er 0.920 0.517 0.250
Er2 Er 0.420 0.250 0.517
Er3 Er 0.580 0.750 0.483
Er4 Er 0.080 0.483 0.750
Nd1 Nd 0.750 0.394 0.606
Nd2 Nd 0.249 0.273 0.061
Nd3 Nd 0.251 0.939 0.727
Nd4 Nd 0.250 0.606 0.394
Nd5 Nd 0.751 0.727 0.939
Nd6 Nd 0.749 0.061 0.273

=====

No. 2
# Nd7Ho4Er, relaxed, DFT GGA-PBE
# Energy of formation = 0.218 eV per atom
# E = -4.469 eV per atom
# Space-group type = No. 12
# ΔE to the lowest computed polymorph = 0.213 eV per atom
data_Nd7Ho4Er
_space_group_name_H-M_alt 'P 1'
_space_group_IT_number 1
_cell_length_a 6.001
_cell_length_b 9.787
_cell_length_c 8.628
_cell_angle_alpha 61.09
_cell_angle_beta 69.65
_cell_angle_gamma 72.14
loop_
_space_group_symop_operation_xyz
'x,y,z'
loop_
_atom_site_label
_atom_site_type_symbol
_atom_site_fract_x
_atom_site_fract_y
_atom_site_fract_z
Nd1 Nd 0.790 0.882 0.538
Nd2 Nd 0.084 0.555 0.277
Nd3 Nd 0.790 0.233 0.187
Nd4 Nd 0.916 0.445 0.723
Nd5 Nd 0.500 0.000 0.000
Nd6 Nd 0.210 0.767 0.813
Nd7 Nd 0.210 0.118 0.462
Er1 Er 0.000 0.000 0.000
Ho1 Ho 0.429 0.697 0.445
Ho2 Ho 0.328 0.387 0.957
Ho3 Ho 0.672 0.613 0.043
Ho4 Ho 0.571 0.303 0.555

=====

No. 3
# Nd5Ho3Er4, relaxed, DFT GGA-PBE
# Energy of formation = 0.232 eV per atom
# E = -4.420 eV per atom
# Space-group type = No. 12
data_Nd5Ho3Er4
_space_group_name_H-M_alt 'P 1'
_space_group_IT_number 1
_cell_length_a 5.808
_cell_length_b 5.681
_cell_length_c 14.436
_cell_angle_alpha 84.27
_cell_angle_beta 78.40
_cell_angle_gamma 59.26
loop_
_space_group_symop_operation_xyz
'x,y,z'
loop_
_atom_site_label
_atom_site_type_symbol
_atom_site_fract_x
_atom_site_fract_y
_atom_site_fract_z
Nd1 Nd 0.331 0.337 0.001
Nd2 Nd 0.200 0.346 0.254
Nd3 Nd 0.669 0.663 0.999
Nd4 Nd 0.500 0.500 0.500
Nd5 Nd 0.800 0.654 0.746
Er1 Er 0.820 0.003 0.356
Er2 Er 0.937 0.002 0.124
Er3 Er 0.180 0.997 0.644
Er4 Er 0.063 0.998 0.876
Ho1 Ho 0.457 0.337 0.749
Ho2 Ho 0.543 0.663 0.251
Ho3 Ho 0.000 0.500 0.500

=====

No. 4
# Nd2Ho4Er, relaxed, DFT GGA-PBE
# Energy of formation = 0.259 eV per atom
# E = -4.371 eV per atom
# Space-group type = No. 139
# ΔE to the lowest computed polymorph = 0.151 eV per atom
data_Nd2Ho4Er
_space_group_name_H-M_alt 'P 1'
_space_group_IT_number 1
_cell_length_a 6.788
_cell_length_b 6.788
_cell_length_c 6.788
_cell_angle_alpha 103.29
_cell_angle_beta 103.29
_cell_angle_gamma 122.71
loop_
_space_group_symop_operation_xyz
'x,y,z'
loop_
_atom_site_label
_atom_site_type_symbol
_atom_site_fract_x
_atom_site_fract_y
_atom_site_fract_z
Nd1 Nd 0.750 0.250 0.500
Nd2 Nd 0.250 0.750 0.500
Ho1 Ho 0.198 0.198 0.397
Ho2 Ho 0.802 0.802 0.603
Ho3 Ho 0.802 0.198 0.000
Ho4 Ho 0.198 0.802 0.000
Er1 Er 0.500 0.500 0.000